[1]
The following is a PBE calculation of a relaxed Ba2AcPuO8 crystal, from Alexandria via LeMat-Bulk.

Lattice parameters (Å, degrees): 4.554 7.884 5.875 90.00 95.94 90.00
Fractional positions:
Ba 0.000 0.239 0.000
Ba 0.000 0.761 0.000
Ac 0.500 0.500 0.500
Pu 0.500 0.000 0.500
O 0.006 0.500 0.713
O 0.120 0.000 0.321
O 0.439 0.199 0.713
O 0.439 0.801 0.713
O 0.561 0.199 0.287
O 0.561 0.801 0.287
O 0.880 0.000 0.679
O 0.994 0.500 0.287

Calculated values
- Space group: P2/m (10)
- Total moment: 1.06 Bohr magnetons per cell
- Formation energy (no corrections): -2438 meV per atom
- Electronic total energy: -7.60 eV per atom

=====

[2]
The following is a PBE calculation of a relaxed KYMo2 crystal, from Alexandria via LeMat-Bulk.

Lattice parameters (Å, degrees): 6.221 6.221 6.221 148.10 126.41 63.73
Fractional positions:
K 0.000 0.000 0.000
Y 0.707 0.207 0.500
Mo 0.272 0.772 0.500
Mo 0.427 0.427 0.000

Calculated values
- DFT formation energy: 3.51 eV/f.u.
- Space group: Imm2 (44)
- Total moment: 0.00 Bohr magnetons per cell
- Electronic total energy: -6.43 eV per atom

=====

[3]
The following is a PBE calculation of a relaxed LiAgPb3 crystal, from Alexandria via LeMat-Bulk.

Lattice parameters (Å, degrees): 5.554 5.554 5.554 90.00 90.00 90.00
Fractional positions:
Li 0.000 0.000 0.000
Ag 0.500 0.500 0.500
Pb 0.000 0.500 0.500
Pb 0.500 0.000 0.500
Pb 0.500 0.500 0.000

Calculated values
- DFT formation energy: 1.49 eV/f.u.
- Space group: Pm-3m (221)
- Total moment: 0.00 Bohr magnetons per cell
- Electronic total energy: -2.88 eV per atom

=====

[4]
The following is a PBE calculation of a relaxed Tl2Si2Au crystal, from Alexandria via LeMat-Bulk.

Lattice parameters (Å, degrees): 9.622 9.622 9.622 159.11 159.11 29.72
Fractional positions:
Tl 0.102 0.102 0.000
Tl 0.898 0.898 0.000
Si 0.250 0.750 0.500
Si 0.750 0.250 0.500
Au 0.500 0.500 0.000

Calculated values
- Space group: I4/mmm (139)
- Total moment: 0.00 Bohr magnetons per cell
- Formation energy (no corrections): 254 meV per atom
- Electronic total energy: -3.52 eV per atom

=====

[5]
The following is a PBE calculation of a relaxed NiGeOs3 crystal, from Alexandria via LeMat-Bulk.

Lattice parameters (Å, degrees): 4.446 4.446 4.446 90.00 90.00 90.00
Fractional positions:
Ni 0.000 0.000 0.000
Ge 0.500 0.500 0.500
Os 0.000 0.000 0.500
Os 0.000 0.500 0.000
Os 0.500 0.000 0.000

Calculated values
- DFT formation energy: 9.67 eV/f.u.
- Space group: Pm-3m (221)
- Total moment: 2.40 Bohr magnetons per cell
- Electronic total energy: -6.88 eV per atom

=====

[6]
The following is a PBE calculation of a relaxed Be2AgPt3 crystal, from Alexandria via LeMat-Bulk.

Lattice parameters (Å, degrees): 2.818 2.818 10.024 90.00 90.00 90.00
Fractional positions:
Be 0.000 0.000 0.151
Be 0.000 0.000 0.849
Ag 0.000 0.000 0.500
Pt 0.500 0.500 0.000
Pt 0.500 0.500 0.284
Pt 0.500 0.500 0.716

Calculated values
- DFT formation energy: -3.37 eV/f.u.
- Space group: P4/mmm (123)
- Total moment: 0.00 Bohr magnetons per cell
- Electronic total energy: -5.30 eV per atom

=====

[7]
The following is a PBE calculation of a relaxed TiFeAs crystal, from Alexandria via LeMat-Bulk.

Lattice parameters (Å, degrees): 4.552 4.552 4.552 136.85 136.85 62.68
Fractional positions:
Ti 0.000 0.000 0.000
Fe 0.330 0.330 0.000
As 0.662 0.662 0.000

Calculated values
- DFT formation energy: -0.85 eV/f.u.
- Space group: I4mm (107)
- Total moment: 1.91 Bohr magnetons per cell
- Electronic total energy: -7.28 eV per atom

=====

[8]
The following is a PBE calculation of a relaxed RbBe2CuC crystal, from Alexandria via LeMat-Bulk.

Lattice parameters (Å, degrees): 3.684 3.684 6.151 90.00 90.00 90.00
Fractional positions:
Rb 0.000 0.000 0.000
Be 0.000 0.500 0.500
Be 0.500 0.000 0.500
Cu 0.500 0.500 0.000
C 0.000 0.000 0.500

Calculated values
- DFT formation energy: 5.04 eV/f.u.
- Space group: P4/mmm (123)
- Total moment: 0.00 Bohr magnetons per cell
- Electronic total energy: -3.34 eV per atom

=====

[9]
The following is a PBE calculation of a relaxed IrPt2Rh8 crystal, from Alexandria via LeMat-Bulk.

Lattice parameters (Å, degrees): 7.042 7.042 5.102 110.38 110.38 116.25
Fractional positions:
Ir 0.000 0.000 0.000
Pt 0.306 0.694 0.500
Pt 0.694 0.306 0.500
Rh 0.093 0.310 0.580
Rh 0.225 0.775 0.000
Rh 0.310 0.093 0.580
Rh 0.401 0.401 0.162
Rh 0.599 0.599 0.838
Rh 0.690 0.907 0.420
Rh 0.775 0.225 0.000
Rh 0.907 0.690 0.420

Calculated values
- DFT formation energy: 3.25 eV/f.u.
- Space group: C2/m (12)
- Total moment: 0.00 Bohr magnetons per cell
- Electronic total energy: -6.95 eV per atom

=====

[10]
The following is a PBE calculation of a relaxed MgZnTe2 crystal, from Alexandria via LeMat-Bulk.

Lattice parameters (Å, degrees): 4.468 9.005 6.350 90.00 90.00 90.00
Fractional positions:
Mg 0.000 0.131 0.000
Mg 0.500 0.869 0.500
Zn 0.000 0.618 0.003
Zn 0.500 0.382 0.503
Te 0.000 0.384 0.263
Te 0.000 0.867 0.236
Te 0.500 0.133 0.736
Te 0.500 0.616 0.763

Calculated values
- Space group: Pmn2_1 (31)
- Total moment: 0.00 Bohr magnetons per cell
- Formation energy (no corrections): -661 meV per atom
- Electronic total energy: -2.95 eV per atom

=====

[11]
The following is a PBE calculation of a relaxed Ca2ZrW crystal, from Alexandria via LeMat-Bulk.

Lattice parameters (Å, degrees): 4.040 4.040 6.138 90.00 90.00 90.00
Fractional positions:
Ca 0.000 0.000 0.233
Ca 0.000 0.000 0.767
Zr 0.500 0.500 0.500
W 0.500 0.500 0.000

Calculated values
- DFT formation energy: 4.32 eV/f.u.
- Space group: P4/mmm (123)
- Total moment: 0.40 Bohr magnetons per cell
- Electronic total energy: -5.30 eV per atom

=====

[12]
The following is a PBE calculation of a relaxed LiTe2HN crystal, from Alexandria via LeMat-Bulk.

Lattice parameters (Å, degrees): 5.233 5.233 2.901 90.00 90.00 90.00
Fractional positions:
Li 0.000 0.000 0.000
Te 0.000 0.500 0.500
Te 0.500 0.000 0.500
H 0.500 0.500 0.500
N 0.500 0.500 0.000

Calculated values
- Space group: P4/mmm (123)
- Total moment: 0.00 Bohr magnetons per cell
- Electronic total energy: -3.37 eV per atom